A) This record from the Alexandria database describes a relaxed structure of Mg3MnTe. The functional is GGA-PBE.

a b c (Å): 4.9737 4.9737 4.9737
angles (deg): 90.00 90.00 90.00
Atoms (fractional coordinates):
Mg 0.0000 0.5000 0.0000
Mg 0.0000 0.0000 0.5000
Mg 0.5000 0.0000 0.0000
Te 0.5000 0.5000 0.5000
Mn 0.0000 0.0000 0.0000

Results
- DOS(E_F): 2.64 states/eV/atom
- Space group: Pm-3m, No. 221

---

B) This record from the Alexandria database describes a relaxed structure of Mg3MnTe. The functional is GGA-PBE.

a b c (Å): 5.4293 5.4293 5.4293
angles (deg): 90.00 90.00 90.00
Each line ends with the local moment (μB).
Atoms (fractional coordinates):
Mg 0.0000 0.5000 0.0000  0.00
Mg 0.0000 0.0000 0.5000  -0.01
Mg 0.5000 0.0000 0.0000  0.00
Te 0.0000 0.0000 0.0000  0.01
Mn 0.5000 0.5000 0.5000  4.36

Results
- DOS(E_F): 0.81 states/eV/atom
- Space group: Pm-3m, No. 221

---

Which of them is most stable, and which least? Most stable: B); least stable: A).

---

A) This record from the Alexandria database describes a relaxed structure of Mg3MnTe4. The functional is GGA-PBE.

a b c (Å): 4.5777 4.5777 12.9144
angles (deg): 90.00 90.00 90.00
Each line ends with the local moment (μB).
Atoms (fractional coordinates):
Mg 0.0000 0.0000 0.7538  0.01
Mg 0.5000 0.5000 0.5000  0.00
Mg 0.0000 0.0000 0.2462  0.01
Mn 0.5000 0.5000 0.0000  4.27
Te 0.0000 0.5000 0.3731  0.01
Te 0.5000 0.0000 0.1185  0.03
Te 0.0000 0.5000 0.8815  0.03
Te 0.5000 0.0000 0.6269  0.01

Results
- Space group: P-4m2, No. 115

---

B) This record from the Alexandria database describes a relaxed structure of Mg3MnTe4. The functional is GGA-PBE.

a b c (Å): 7.4554 7.9229 9.1497
angles (deg): 90.00 90.00 90.00
Each line ends with the local moment (μB).
Atoms (fractional coordinates):
Mg 0.5030 0.8356 0.0000  0.01
Mg 0.0023 0.6680 0.2494  0.01
Mg 0.5023 0.3320 0.2506  0.01
Mg 0.0030 0.1644 0.5000  0.01
Mg 0.5023 0.3320 0.7494  0.01
Mg 0.0023 0.6680 0.7506  0.01
Mn 0.0021 0.1679 0.0000  4.23
Mn 0.5021 0.8321 0.5000  4.23
Te 0.1240 0.8420 0.0000  0.02
Te 0.6350 0.1684 0.0000  0.02
Te 0.1233 0.3307 0.2452  0.02
Te 0.6233 0.6693 0.2548  0.02
Te 0.1350 0.8316 0.5000  0.02
Te 0.6240 0.1580 0.5000  0.02
Te 0.6233 0.6693 0.7452  0.02
Te 0.1233 0.3307 0.7548  0.02

Results
- DOS(E_F): 0.00 states/eV/atom
- Space group: Pmn2_1, No. 31

---

Which of them is most stable, and which least? Most stable: B); least stable: A).

---

A) This record from the Alexandria database describes a relaxed structure of Th2MgMn. The functional is GGA-PBE.

a b c (Å): 4.3525 4.8571 4.8571
angles (deg): 90.00 90.00 90.00
Each line ends with the local moment (μB).
Atoms (fractional coordinates):
Mg 0.5000 0.5000 0.5000  -0.01
Mn 0.5000 0.0000 0.0000  3.38
Th 0.0000 0.0000 0.5000  -0.20
Th 0.0000 0.5000 0.0000  -0.20

Results
- DOS(E_F): 1.08 states/eV/atom
- Space group: P4/mmm, No. 123

---

B) This record from the Alexandria database describes a relaxed structure of Th2MgMn. The functional is GGA-PBE.

a b c (Å): 3.3632 3.3632 8.9043
angles (deg): 90.00 90.00 90.00
Atoms (fractional coordinates):
Mg 0.5000 0.5000 0.5000
Mn 0.5000 0.5000 0.0000
Th 0.0000 0.0000 0.8031
Th 0.0000 0.0000 0.1969

Results
- DOS(E_F): 1.03 states/eV/atom
- Space group: P4/mmm, No. 123

---

C) This record from the Alexandria database describes a relaxed structure of Th2MgMn. The functional is GGA-PBE.

a b c (Å): 3.8737 3.8737 8.8817
angles (deg): 77.40 77.40 60.00
Atoms (fractional coordinates):
Mg 0.5000 0.5000 0.5000
Mn 0.0000 0.0000 0.0000
Th 0.2752 0.2752 0.1745
Th 0.7248 0.7248 0.8255

Results
- DOS(E_F): 0.91 states/eV/atom
- Space group: R-3m, No. 166

---

Which of them is most stable, and which least? Most stable: B); least stable: C).

---

A) This record from the Alexandria database describes a relaxed structure of Mg14TiMn. The functional is GGA-PBE.

a b c (Å): 6.2960 6.2960 10.2041
angles (deg): 90.00 90.00 121.07
Each line ends with the local moment (μB).
Atoms (fractional coordinates):
Mg 0.8334 0.1666 0.0000  0.00
Mg 0.3335 0.6665 0.0000  -0.01
Mg 0.3294 0.1664 0.5000  -0.01
Mg 0.3332 0.1685 0.0000  0.00
Mg 0.8336 0.6706 0.5000  -0.01
Mg 0.8315 0.6668 0.0000  0.00
Mg 0.1646 0.3350 0.2615  -0.01
Mg 0.1646 0.3350 0.7385  -0.01
Mg 0.6650 0.8354 0.2615  -0.01
Mg 0.6650 0.8354 0.7385  -0.01
Mg 0.6723 0.3277 0.2596  -0.01
Mg 0.6723 0.3277 0.7404  -0.01
Mg 0.1699 0.8301 0.2526  0.00
Mg 0.1699 0.8301 0.7474  0.00
Ti 0.3283 0.6717 0.5000  -1.33
Mn 0.8334 0.1666 0.5000  3.61

Results
- DOS(E_F): 0.50 states/eV/atom
- Space group: Amm2, No. 38

---

B) This record from the Alexandria database describes a relaxed structure of Mg14TiMn. The functional is GGA-PBE.

a b c (Å): 6.3123 6.3123 10.0336
angles (deg): 90.00 90.00 120.00
Each line ends with the local moment (μB).
Atoms (fractional coordinates):
Mg 0.9996 0.4998 0.0000  -0.02
Mg 0.0057 0.5029 0.5000  0.00
Mg 0.5002 0.0004 0.0000  -0.02
Mg 0.4971 0.9943 0.5000  0.00
Mg 0.5002 0.4998 0.0000  -0.02
Mg 0.4971 0.5029 0.5000  0.00
Mg 0.1607 0.8393 0.2477  -0.01
Mg 0.1607 0.8393 0.7523  -0.01
Mg 0.1607 0.3214 0.2477  -0.01
Mg 0.1607 0.3214 0.7523  -0.01
Mg 0.6786 0.8393 0.2477  -0.01
Mg 0.6786 0.8393 0.7523  -0.01
Mg 0.6667 0.3333 0.2541  0.00
Mg 0.6667 0.3333 0.7459  0.00
Ti 0.0000 0.0000 0.5000  0.98
Mn 0.0000 0.0000 0.0000  3.73

Results
- DOS(E_F): 0.49 states/eV/atom
- Space group: P-6m2, No. 187

---

Which of them is most stable, and which least? Most stable: A); least stable: B).

---

A) This record from the Alexandria database describes a relaxed structure of Tm2MgMn. The functional is GGA-PBE.

a b c (Å): 3.4302 3.4302 8.0749
angles (deg): 90.00 90.00 90.00
Each line ends with the local moment (μB).
Atoms (fractional coordinates):
Mg 0.5000 0.5000 0.5000  0.01
Tm 0.0000 0.0000 0.7874  -0.23
Tm 0.0000 0.0000 0.2126  -0.23
Mn 0.5000 0.5000 0.0000  3.06

Results
- DOS(E_F): 0.88 states/eV/atom
- Space group: P4/mmm, No. 123

---

B) This record from the Alexandria database describes a relaxed structure of Tm2MgMn. The functional is GGA-PBE.

a b c (Å): 3.3579 3.3579 10.2505
angles (deg): 80.57 80.57 60.00
Each line ends with the local moment (μB).
Atoms (fractional coordinates):
Mg 0.5000 0.5000 0.5000  0.00
Tm 0.2592 0.2592 0.2223  -0.22
Tm 0.7408 0.7408 0.7777  -0.22
Mn 0.0000 0.0000 0.0000  3.32

Results
- DOS(E_F): 1.08 states/eV/atom
- Space group: R-3m, No. 166

---

C) This record from the Alexandria database describes a relaxed structure of Tm2MgMn. The functional is GGA-PBE.

a b c (Å): 5.1123 5.1123 5.1123
angles (deg): 60.00 60.00 60.00
Each line ends with the local moment (μB).
Atoms (fractional coordinates):
Mg 0.5000 0.5000 0.5000  -0.01
Tm 0.2500 0.2500 0.2500  -0.20
Tm 0.7500 0.7500 0.7500  -0.20
Mn 0.0000 0.0000 0.0000  3.56

Results
- DOS(E_F): 1.27 states/eV/atom
- Space group: Fm-3m, No. 225

---

Which of them is most stable, and which least? Most stable: A); least stable: B).

---

A) This record from the Alexandria database describes a relaxed structure of Mg2MnV. The functional is GGA-PBE.

a b c (Å): 4.6539 4.6539 4.6539
angles (deg): 60.00 60.00 60.00
Each line ends with the local moment (μB).
Atoms (fractional coordinates):
Mg 0.2500 0.2500 0.2500  -0.03
Mg 0.7500 0.7500 0.7500  -0.03
Mn 0.5000 0.5000 0.5000  3.55
V 0.0000 0.0000 0.0000  2.11

Results
- DOS(E_F): 1.64 states/eV/atom
- Space group: Fm-3m, No. 225

---

B) This record from the Alexandria database describes a relaxed structure of Mg2MnV. The functional is GGA-PBE.

a b c (Å): 7.4607 7.4607 5.9354
angles (deg): 51.06 51.06 90.00
Each line ends with the local moment (μB).
Atoms (fractional coordinates):
Mg 0.6361 0.1250 0.2500  -0.01
Mg 0.1139 0.6250 0.2500  -0.01
Mg 0.3750 0.3639 0.7500  -0.01
Mg 0.8750 0.8861 0.7500  -0.01
Mn 0.0000 0.0000 0.0000  3.56
Mn 0.7500 0.2500 0.5000  3.56
V 0.5000 0.5000 0.0000  -2.22
V 0.2500 0.7500 0.5000  -2.22

Results
- DOS(E_F): 0.85 states/eV/atom
- Space group: I-42d, No. 122

---

Which of them is most stable, and which least? Most stable: A); least stable: B).

---

A) This record from the Alexandria database describes a relaxed structure of MgMnW. The functional is GGA-PBE.

a b c (Å): 5.3951 5.3951 5.3951
angles (deg): 147.11 147.11 47.20
Atoms (fractional coordinates):
Mg 0.9930 0.9930 0.0000
Mn 0.3135 0.3135 0.0000
W 0.6935 0.6935 0.0000

Results
- DOS(E_F): 0.91 states/eV/atom
- Space group: I4mm, No. 107

---

B) This record from the Alexandria database describes a relaxed structure of MgMnW. The functional is GGA-PBE.

a b c (Å): 4.1762 4.1762 4.1762
angles (deg): 60.00 60.00 60.00
Each line ends with the local moment (μB).
Atoms (fractional coordinates):
Mg 0.5000 0.5000 0.5000  0.01
Mn 0.7500 0.7500 0.7500  1.48
W 0.0000 0.0000 0.0000  -0.56

Results
- DOS(E_F): 1.02 states/eV/atom
- Space group: F-43m, No. 216

---

C) This record from the Alexandria database describes a relaxed structure of MgMnW. The functional is GGA-PBE.

a b c (Å): 6.8489 6.8489 6.8489
angles (deg): 157.01 157.01 32.74
Each line ends with the local moment (μB).
Atoms (fractional coordinates):
Mg 0.9984 0.9984 0.0000  -0.01
Mn 0.3269 0.3269 0.0000  3.22
W 0.6747 0.6747 0.0000  0.02

Results
- DOS(E_F): 0.87 states/eV/atom
- Space group: I4mm, No. 107

---

Which of them is most stable, and which least? Most stable: A); least stable: B).

---

A) This record from the Alexandria database describes a relaxed structure of MgMnW. The functional is GGA-PBE.

a b c (Å): 4.3679 4.3679 2.7202
angles (deg): 90.00 90.00 120.00
Each line ends with the local moment (μB).
Atoms (fractional coordinates):
Mg 0.0000 0.0000 0.0271  -0.01
Mn 0.3333 0.6667 0.3670  1.67
W 0.6667 0.3333 0.6060  -0.39

Results
- DOS(E_F): 0.85 states/eV/atom
- Space group: P3m1, No. 156

---

B) This record from the Alexandria database describes a relaxed structure of MgMnW. The functional is GGA-PBE.

a b c (Å): 6.9927 6.8158 2.7442
angles (deg): 82.18 74.94 22.88
Each line ends with the local moment (μB).
Atoms (fractional coordinates):
Mg 0.9950 0.9950 0.0050  -0.01
Mn 0.3248 0.3248 0.6752  2.02
W 0.6802 0.6802 0.3198  -0.26

Results
- DOS(E_F): 0.82 states/eV/atom
- Space group: Fmm2, No. 42

---

Which of them is most stable, and which least? Most stable: B); least stable: A).